Pr3Nd6Tm2Tl | GGA-PBE | optimized geometry

Cell: 6.322 6.322 11.882 Å, 95.23 95.23 120.29°
Atoms (fractional coordinates):
Nd  0.078  0.405  0.241
Nd  0.595  0.922  0.759
Nd  0.405  0.078  0.241
Nd  0.248  0.248  0.756
Nd  0.752  0.752  0.244
Nd  0.922  0.595  0.759
Pr  0.831  0.169  0.500
Pr  0.500  0.500  0.500
Pr  0.169  0.831  0.500
Tm  0.665  0.335  0.000
Tm  0.335  0.665  0.000
Tl  0.000  0.000  0.000

Computed properties:
- E_tot (eV/cell) = -54.27